1.
A relaxed PmNd2Y6Ho2 crystal. Source: the Alexandria database, functional PBE.

The structure in POSCAR format:
```
PmNd2Y6Ho2
1.0
-5.433 -1.012 -3.751
4.699 -4.342 1.919
-4.926 3.095 10.620
Pm Nd Y Ho
1 2 6 2
direct
0.000 0.000 0.500
0.865 0.135 0.000
0.135 0.865 0.000
0.709 0.709 0.708
0.136 0.444 0.789
0.291 0.291 0.292
0.444 0.136 0.789
0.864 0.556 0.211
0.556 0.864 0.211
0.297 0.703 0.500
0.703 0.297 0.500
```

Calculated values
Calculated formation energy ... 150 meV per atom
Crystal system ... monoclinic
Total moment ... 0.00 μB per formula unit
Raw total energy ... -60.58 eV/cell

2.
A relaxed PmNd2Y6Ho crystal. Source: the Alexandria database, functional PBE.

The structure in POSCAR format:
```
PmNd2Y6Ho
1.0
1.164 9.158 3.528
-4.155 2.469 -7.348
-4.925 -2.848 6.708
Pm Nd Y Ho
2 4 12 2
direct
0.250 0.404 0.596
0.750 0.596 0.404
0.456 0.810 0.712
0.044 0.288 0.190
0.544 0.190 0.288
0.956 0.712 0.810
0.056 0.121 0.745
0.444 0.255 0.879
0.944 0.879 0.255
0.556 0.745 0.121
0.315 0.976 0.421
0.185 0.579 0.024
0.685 0.024 0.579
0.815 0.421 0.976
0.119 0.705 0.498
0.381 0.502 0.295
0.881 0.295 0.502
0.619 0.498 0.705
0.250 0.982 0.018
0.750 0.018 0.982
```

Calculated values
Calculated formation energy ... 116 meV per atom
Crystal system ... monoclinic
Total moment ... 0.00 μB per formula unit
Raw total energy ... -112.97 eV/cell

3.
A relaxed Pm2Nd2Y4Ho crystal. Source: the Alexandria database, functional PBE.

The structure in POSCAR format:
```
Pm2Nd2Y4Ho
1.0
3.639 0.000 0.000
-1.820 9.434 -0.499
0.000 -3.738 8.935
Pm Nd Y Ho
2 2 4 1
direct
0.852 0.705 0.336
0.148 0.295 0.664
0.335 0.670 0.000
0.665 0.330 0.000
0.815 0.630 0.666
0.185 0.370 0.334
0.519 0.038 0.332
0.481 0.962 0.668
0.000 0.000 0.000
```

Calculated values
Calculated formation energy ... 1 meV per atom
Crystal system ... monoclinic
Total moment ... 0.00 μB per formula unit
Raw total energy ... -49.46 eV/cell

4.
A relaxed PmNdHoZr crystal. Source: the Alexandria database, functional PBE.

The structure in POSCAR format:
```
PmNdHoZr
1.0
5.566 0.000 0.000
2.783 4.820 0.000
2.783 1.607 4.545
Nd Ho Zr Pm
1 1 1 1
direct
0.500 0.500 0.500
0.250 0.250 0.250
0.000 0.000 0.000
0.750 0.750 0.750
```

Calculated values
Calculated formation energy ... 247 meV per atom
Crystal system ... cubic
Total moment ... 1.74 μB per formula unit
Raw total energy ... -21.66 eV/cell

5.
A relaxed Pr6Nd2Ho3 crystal. Source: the Alexandria database, functional PBE.

The structure in POSCAR format:
```
Pr6Nd2Ho3
1.0
5.773 0.000 0.000
0.000 5.773 0.000
-2.887 -2.887 12.477
Pr Nd Ho
6 2 3
direct
0.097 0.597 0.194
0.597 0.097 0.194
0.903 0.403 0.806
0.403 0.903 0.806
0.700 0.700 0.401
0.300 0.300 0.599
0.441 0.441 0.883
0.559 0.559 0.117
0.000 0.000 0.000
0.838 0.838 0.675
0.162 0.162 0.325
```

Calculated values
Calculated formation energy ... 473 meV per atom
Crystal system ... tetragonal
Total moment ... 0.00 μB per formula unit
Raw total energy ... -46.74 eV/cell

6.
A relaxed Pr7Nd16Ho6 crystal. Source: the Alexandria database, functional PBE.

The structure in POSCAR format:
```
Pr7Nd16Ho6
1.0
-6.022 -9.694 -0.736
3.021 -8.050 -7.540
4.538 -9.841 3.652
Pr Nd Ho
7 16 6
direct
0.000 0.000 0.000
0.500 0.000 0.500
0.000 0.500 0.000
0.000 0.500 0.500
0.500 0.000 0.000
0.000 0.000 0.500
0.500 0.500 0.000
0.874 0.874 0.378
0.874 0.874 0.874
0.874 0.378 0.874
0.378 0.874 0.874
0.126 0.126 0.126
0.126 0.126 0.622
0.126 0.622 0.126
0.622 0.126 0.126
0.651 0.651 0.048
0.651 0.651 0.651
0.651 0.048 0.651
0.048 0.651 0.651
0.349 0.349 0.349
0.349 0.349 0.952
0.349 0.952 0.349
0.952 0.349 0.349
0.263 0.737 0.263
0.737 0.263 0.737
0.737 0.263 0.263
0.263 0.737 0.737
0.737 0.737 0.263
0.263 0.263 0.737
```

Calculated values
Calculated formation energy ... 230 meV per atom
Crystal system ... cubic
Total moment ... 0.00 μB per formula unit
Raw total energy ... -130.53 eV/cell